TiGa3Rh PBE relaxed; Fermi-level density of states = 11.31 states/eV per cell; formation energy from the elements = -0.499 eV per atom; total magnetization = 0.00 μB per formula unit; space group = Pm-3m; density = 7.67 g/cm3; polymorph energy (0 for the lowest one) = 0.000 eV/atom
1.0
6.161 0.000 0.000
0.000 6.161 0.000
0.000 0.000 6.161
Ti Ga Rh
3 9 3
Direct
0.000 0.000 0.500
0.000 0.500 0.000
0.500 0.000 0.000
0.000 0.000 0.000
0.276 0.276 0.276
0.276 0.276 0.724
0.276 0.724 0.276
0.276 0.724 0.724
0.724 0.276 0.276
0.724 0.276 0.724
0.724 0.724 0.276
0.724 0.724 0.724
0.000 0.500 0.500
0.500 0.000 0.500
0.500 0.500 0.000

***

Ti2GaRh8 PBE relaxed; Fermi-level density of states = 10.24 states/eV per cell; formation energy from the elements = -0.470 eV per atom; total magnetization = 0.00 μB per formula unit; space group = C2/m; density = 10.32 g/cm3
1.0
6.915 -1.940 0.000
6.915 1.940 0.000
-1.624 0.000 5.928
Ti Ga Rh
2 1 8
Direct
0.225 0.225 0.160
0.775 0.775 0.840
0.500 0.500 0.500
0.041 0.041 0.227
0.145 0.145 0.699
0.321 0.321 0.593
0.404 0.404 0.036
0.596 0.596 0.964
0.679 0.679 0.407
0.855 0.855 0.301
0.959 0.959 0.773

***

TiGa2Rh3 PBE relaxed; Fermi-level density of states = 2.04 states/eV per cell; formation energy from the elements = -0.742 eV per atom; total magnetization = 0.00 μB per formula unit; space group = P4/mmm; density = 9.60 g/cm3; polymorph energy (0 for the lowest one) = 0.030 eV/atom
1.0
2.966 0.000 0.000
0.000 2.966 0.000
0.000 0.000 9.760
Ti Ga Rh
1 2 3
Direct
0.000 0.000 0.000
0.000 0.000 0.336
0.000 0.000 0.664
0.500 0.500 0.174
0.500 0.500 0.500
0.500 0.500 0.826